Entry 1:
Below is crystalline TaBeW2 at its relaxed geometry, with properties calculated at the GGA-PBE level.

Geometry as extended XYZ:
```
4
Lattice="-1.207 -4.295 -0.828 -0.786 -1.212 4.302 -1.864 3.612 -2.018" Properties=species:S:1:pos:R:3 pbc="T T T"
Be -0.996 -2.753 1.737
W 0.000 0.000 0.000
W -1.823 -0.177 2.010
Ta -2.034 -1.719 -0.554
```

Properties
Crystal system: tetragonal
DOS at the Fermi energy: 2.2 states/eV/f.u.
Theoretical density: 15.11 g/cm³
DFT total energy: -40.580 eV/cell


Entry 2:
Below is crystalline PaTcBi at its relaxed geometry, with properties calculated at the GGA-PBE level.

Geometry as extended XYZ:
```
12
Lattice="-2.347 -1.950 4.096 -0.648 -4.421 -2.476 10.054 -3.711 3.993" Properties=species:S:1:pos:R:3 pbc="T T T"
Tc 7.714 -7.046 2.657
Tc 2.687 -5.191 0.660
Tc -0.655 -3.035 2.956
Tc 4.372 -4.891 4.954
Bi 4.279 -3.448 2.402
Bi -0.748 -1.593 0.405
Bi 2.781 -6.633 3.212
Bi 7.808 -8.489 5.209
Pa 5.744 -6.319 1.875
Pa 0.717 -4.464 -0.122
Pa 1.315 -3.763 3.739
Pa 6.342 -5.618 5.735
```

Properties
Crystal system: tetragonal
DOS at the Fermi energy: 1.9 states/eV/f.u.
Theoretical density: 11.98 g/cm³
DFT total energy: -95.486 eV/cell


Entry 3:
Below is crystalline Cd3SnRh at its relaxed geometry, with properties calculated at the GGA-PBE level.

Geometry as extended XYZ:
```
10
Lattice="-1.532 -4.270 -5.262 -0.308 -3.679 5.886 -4.058 5.224 0.921" Properties=species:S:1:pos:R:3 pbc="T T T"
Cd -2.611 -2.394 -3.766
Cd -1.738 -0.971 1.720
Cd -4.160 -1.754 -0.175
Cd -1.790 -3.867 -0.887
Cd -3.287 -0.330 5.311
Cd -4.108 1.142 2.432
Sn -4.310 0.804 -2.472
Sn -1.588 -3.529 4.017
Rh -2.805 -3.435 1.616
Rh -3.093 0.711 -0.071
```

Properties
Crystal system: monoclinic
DOS at the Fermi energy: 1.8 states/eV/f.u.
Theoretical density: 7.73 g/cm³
DFT total energy: -28.755 eV/cell


Entry 4:
Below is crystalline HoThCuPt at its relaxed geometry, with properties calculated at the GGA-PBE level.

Geometry as extended XYZ:
```
4
Lattice="-2.488 0.694 4.304 -4.915 -0.991 0.246 -1.635 -3.958 2.620" Properties=species:S:1:pos:R:3 pbc="T T T"
Cu -2.260 -1.064 1.792
Pt -6.779 -3.191 5.377
Th -4.519 -2.127 3.585
Ho 0.000 0.000 0.000
```

Properties
Crystal system: cubic
DOS at the Fermi energy: 4.0 states/eV/f.u.
Theoretical density: 12.17 g/cm³
DFT total energy: -24.725 eV/cell